# 1
# InCu3I9 PBE optimized geometry
data_InCu3I9
_chemical_formula_sum 'In2 Cu6 I18'
_cell_length_a 9.423
_cell_length_b 11.679
_cell_length_c 12.014
_cell_angle_alpha 71.56
_cell_angle_beta 66.91
_cell_angle_gamma 66.21
_space_group_name_H-M_alt 'P 1'
_space_group_IT_number 1
loop_
_space_group_symop_operation_xyz
'x,y,z'
loop_
_atom_site_label
_atom_site_fract_x
_atom_site_fract_y
_atom_site_fract_z
Cu1 0.546 0.286 0.728
Cu2 0.212 0.419 0.333
Cu3 0.994 0.054 0.158
Cu4 0.035 0.919 0.833
I1 0.906 0.411 0.835
I2 0.844 0.993 0.044
I3 0.376 0.191 0.307
I4 0.010 0.568 0.215
In1 0.004 0.498 0.007
I5 0.207 0.068 0.715
I6 0.302 0.985 0.090
I7 0.127 0.691 0.807
Cu5 0.794 0.554 0.658
I8 0.390 0.558 0.307
I9 0.339 0.317 0.941
I10 0.745 0.058 0.807
Cu6 0.440 0.786 0.228
I11 0.848 0.911 0.335
I12 0.671 0.792 0.672
I13 0.865 0.292 0.172
I14 0.120 0.493 0.544
I15 0.403 0.817 0.441
I16 0.656 0.685 0.042
In2 0.490 0.998 0.507
I17 0.617 0.185 0.542
I18 0.623 0.485 0.590
# **Raw total energy**: -2.39 eV/atom
# **Formation energy (no corrections)**: -158 meV/atom

# 2
# Si2Ir3Ru PBE optimized geometry
data_Si2Ir3Ru
_chemical_formula_sum 'Si4 Ir6 Ru2'
_cell_length_a 4.019
_cell_length_b 5.349
_cell_length_c 7.615
_cell_angle_alpha 90.00
_cell_angle_beta 90.00
_cell_angle_gamma 90.00
_space_group_name_H-M_alt 'P 1'
_space_group_IT_number 1
loop_
_space_group_symop_operation_xyz
'x,y,z'
loop_
_atom_site_label
_atom_site_fract_x
_atom_site_fract_y
_atom_site_fract_z
Ir1 0.000 0.479 0.952
Ru1 0.500 0.022 0.453
Ru2 0.500 0.522 0.547
Ir2 0.500 0.664 0.174
Ir3 0.000 0.340 0.321
Ir4 0.000 0.840 0.679
Si1 0.500 0.207 0.154
Ir5 0.000 0.979 0.048
Si2 0.500 0.707 0.846
Ir6 0.500 0.164 0.826
Si3 0.000 0.288 0.642
Si4 0.000 0.788 0.358
# **Raw total energy**: -8.27 eV/atom
# **Formation energy (no corrections)**: -482 meV/atom

# 3
# Ta4BeCo PBE optimized geometry
data_Ta4BeCo
_chemical_formula_sum 'Ta4 Be1 Co1'
_cell_length_a 4.981
_cell_length_b 4.981
_cell_length_c 4.981
_cell_angle_alpha 103.42
_cell_angle_beta 103.42
_cell_angle_gamma 122.40
_space_group_name_H-M_alt 'P 1'
_space_group_IT_number 1
loop_
_space_group_symop_operation_xyz
'x,y,z'
loop_
_atom_site_label
_atom_site_fract_x
_atom_site_fract_y
_atom_site_fract_z
Ta1 0.411 0.589 0.500
Ta2 0.589 0.089 0.179
Ta3 0.089 0.911 0.500
Ta4 0.911 0.411 0.821
Be1 0.000 0.000 0.000
Co1 0.500 0.500 0.000
# **Energy of formation**: -186 meV per atom
# **Raw total energy**: -9.89 eV/atom
# **Excess energy over the best structure of this formula in the dataset**: 0 meV/atom

# 4
# Al4SbOs PBE optimized geometry
data_Al4SbOs
_chemical_formula_sum 'Al4 Sb1 Os1'
_cell_length_a 5.229
_cell_length_b 5.229
_cell_length_c 5.229
_cell_angle_alpha 60.00
_cell_angle_beta 60.00
_cell_angle_gamma 60.00
_space_group_name_H-M_alt 'P 1'
_space_group_IT_number 1
loop_
_space_group_symop_operation_xyz
'x,y,z'
loop_
_atom_site_label
_atom_site_fract_x
_atom_site_fract_y
_atom_site_fract_z
Al1 0.376 0.376 0.873
Al2 0.376 0.376 0.376
Al3 0.376 0.873 0.376
Al4 0.873 0.376 0.376
Os1 0.750 0.750 0.750
Sb1 0.000 0.000 0.000
# **Raw total energy**: -4.69 eV/atom
# **Formation energy (no corrections)**: 369 meV/atom

# 5
# LiAsIBr2 PBE optimized geometry
data_LiAsIBr2
_chemical_formula_sum 'Li1 As1 I1 Br2'
_cell_length_a 4.648
_cell_length_b 4.648
_cell_length_c 7.846
_cell_angle_alpha 90.00
_cell_angle_beta 90.00
_cell_angle_gamma 90.00
_space_group_name_H-M_alt 'P 1'
_space_group_IT_number 1
loop_
_space_group_symop_operation_xyz
'x,y,z'
loop_
_atom_site_label
_atom_site_fract_x
_atom_site_fract_y
_atom_site_fract_z
Br1 0.000 0.500 0.000
Br2 0.500 0.000 0.000
I1 0.500 0.500 0.500
As1 0.000 0.000 0.500
Li1 0.000 0.000 0.000
# **Raw total energy**: -2.34 eV/atom
# **Excess energy over the best structure of this formula in the dataset**: 0 meV/atom
# **Formation energy (no corrections)**: -50 meV/atom

# 6
# K3Ga2Sb2 PBE optimized geometry
data_K3Ga2Sb2
_chemical_formula_sum 'K3 Ga2 Sb2'
_cell_length_a 5.524
_cell_length_b 4.401
_cell_length_c 10.773
_cell_angle_alpha 101.79
_cell_angle_beta 104.86
_cell_angle_gamma 90.00
_space_group_name_H-M_alt 'P 1'
_space_group_IT_number 1
loop_
_space_group_symop_operation_xyz
'x,y,z'
loop_
_atom_site_label
_atom_site_fract_x
_atom_site_fract_y
_atom_site_fract_z
Sb1 0.365 0.865 0.731
K1 0.183 0.683 0.367
K2 0.000 0.000 0.000
K3 0.817 0.317 0.633
Ga1 0.560 0.560 0.119
Sb2 0.635 0.135 0.269
Ga2 0.440 0.440 0.881
# **Raw total energy**: -2.90 eV/atom
# **Formation energy (no corrections)**: -389 meV/atom

# 7
# LiLaNpO6 PBE optimized geometry
data_LiLaNpO6
_chemical_formula_sum 'Li2 La2 Np2 O12'
_cell_length_a 5.371
_cell_length_b 5.371
_cell_length_c 10.459
_cell_angle_alpha 90.00
_cell_angle_beta 90.00
_cell_angle_gamma 120.00
_space_group_name_H-M_alt 'P 1'
_space_group_IT_number 1
loop_
_space_group_symop_operation_xyz
'x,y,z'
loop_
_atom_site_label
_atom_site_fract_x
_atom_site_fract_y
_atom_site_fract_z
O1 0.348 0.980 0.642
O2 0.652 0.020 0.358
O3 0.652 0.632 0.142
O4 0.368 0.348 0.358
La1 0.000 0.000 0.500
Li1 0.333 0.667 0.250
O5 0.348 0.368 0.858
Np1 0.333 0.667 0.750
O6 0.632 0.652 0.642
O7 0.632 0.980 0.858
O8 0.020 0.652 0.858
O9 0.368 0.020 0.142
Np2 0.667 0.333 0.250
La2 0.000 0.000 0.000
O10 0.020 0.368 0.642
Li2 0.667 0.333 0.750
O11 0.980 0.348 0.142
O12 0.980 0.632 0.358
# **Raw total energy**: -8.04 eV/atom
# **Formation energy (no corrections)**: -2533 meV/atom

# 8
# MgGa2H2 PBE optimized geometry
data_MgGa2H2
_chemical_formula_sum 'Mg1 Ga2 H2'
_cell_length_a 3.357
_cell_length_b 3.357
_cell_length_c 6.563
_cell_angle_alpha 75.18
_cell_angle_beta 75.18
_cell_angle_gamma 90.00
_space_group_name_H-M_alt 'P 1'
_space_group_IT_number 1
loop_
_space_group_symop_operation_xyz
'x,y,z'
loop_
_atom_site_label
_atom_site_fract_x
_atom_site_fract_y
_atom_site_fract_z
Ga1 0.654 0.654 0.693
Mg1 0.000 0.000 0.000
Ga2 0.346 0.346 0.307
H1 0.750 0.250 0.500
H2 0.250 0.750 0.500
# **Raw total energy**: -2.62 eV/atom